# HoAlS3 | the Alexandria database | GGA-PBE | optimized geometry
data_HoAlS3
_symmetry_space_group_name_H-M 'P 1'
_symmetry_Int_Tables_number 1
_symmetry_space_group_name_Hall 'P 1'
_cell_length_a 3.856
_cell_length_b 11.694
_cell_length_c 11.694
_cell_angle_alpha 148.42
_cell_angle_beta 90.00
_cell_angle_gamma 90.00
loop_
_atom_site_label
_atom_site_fract_x
_atom_site_fract_y
_atom_site_fract_z
Ho1 0.250 0.176 0.824
Ho2 0.750 0.824 0.176
Al1 0.250 0.304 0.559
Al2 0.750 0.559 0.304
S1 0.250 0.051 0.490
S2 0.250 0.380 0.209
S3 0.250 0.658 0.905
S4 0.750 0.209 0.380
S5 0.750 0.490 0.051
S6 0.750 0.905 0.658
# * magnetization: 0.00 Bohr magnetons per cell
# * total energy: -5.7010 eV per atom

# Ho3AlS6 | the Alexandria database | GGA-PBE | optimized geometry
data_Ho3AlS6
_symmetry_space_group_name_H-M 'P 1'
_symmetry_Int_Tables_number 1
_symmetry_space_group_name_Hall 'P 1'
_cell_length_a 8.506
_cell_length_b 8.506
_cell_length_c 6.428
_cell_angle_alpha 90.00
_cell_angle_beta 90.00
_cell_angle_gamma 102.42
loop_
_atom_site_label
_atom_site_fract_x
_atom_site_fract_y
_atom_site_fract_z
Ho1 0.098 0.902 0.500
Ho2 0.215 0.416 0.412
Ho3 0.416 0.215 0.912
Ho4 0.584 0.785 0.412
Ho5 0.785 0.584 0.912
Ho6 0.902 0.098 0.000
Al1 0.299 0.701 0.872
Al2 0.701 0.299 0.372
S1 0.068 0.602 0.698
S2 0.134 0.192 0.707
S3 0.192 0.134 0.207
S4 0.283 0.717 0.222
S5 0.398 0.932 0.698
S6 0.459 0.541 0.732
S7 0.541 0.459 0.232
S8 0.602 0.068 0.198
S9 0.717 0.283 0.722
S10 0.808 0.866 0.707
S11 0.866 0.808 0.207
S12 0.932 0.398 0.198
# * magnetization: 0.00 Bohr magnetons per cell
# * total energy: -6.0598 eV per atom

# Ho4AlS2 | the Alexandria database | GGA-PBE | optimized geometry
data_Ho4AlS2
_symmetry_space_group_name_H-M 'P 1'
_symmetry_Int_Tables_number 1
_symmetry_space_group_name_Hall 'P 1'
_cell_length_a 6.763
_cell_length_b 6.763
_cell_length_c 13.354
_cell_angle_alpha 90.00
_cell_angle_beta 90.00
_cell_angle_gamma 146.63
loop_
_atom_site_label
_atom_site_fract_x
_atom_site_fract_y
_atom_site_fract_z
Ho1 0.000 0.000 0.000
Ho2 0.000 0.000 0.500
Ho3 0.270 0.730 0.619
Ho4 0.270 0.730 0.881
Ho5 0.432 0.568 0.250
Ho6 0.568 0.432 0.750
Ho7 0.730 0.270 0.119
Ho8 0.730 0.270 0.381
Al1 0.106 0.894 0.250
Al2 0.894 0.106 0.750
S1 0.364 0.636 0.059
S2 0.364 0.636 0.441
S3 0.636 0.364 0.559
S4 0.636 0.364 0.941
# * magnetization: 0.00 Bohr magnetons per cell
# * total energy: -5.5860 eV per atom

# Ho5AlS4 | the Alexandria database | GGA-PBE | optimized geometry
data_Ho5AlS4
_symmetry_space_group_name_H-M 'P 1'
_symmetry_Int_Tables_number 1
_symmetry_space_group_name_Hall 'P 1'
_cell_length_a 6.905
_cell_length_b 6.905
_cell_length_c 9.858
_cell_angle_alpha 118.65
_cell_angle_beta 118.65
_cell_angle_gamma 32.57
loop_
_atom_site_label
_atom_site_fract_x
_atom_site_fract_y
_atom_site_fract_z
Ho1 0.000 0.000 0.000
Ho2 0.199 0.199 0.805
Ho3 0.392 0.392 0.604
Ho4 0.608 0.608 0.396
Ho5 0.801 0.801 0.195
Al1 0.000 0.000 0.500
S1 0.199 0.199 0.290
S2 0.401 0.401 0.096
S3 0.599 0.599 0.904
S4 0.801 0.801 0.710
# * magnetization: 0.00 Bohr magnetons per cell
# * total energy: -5.9261 eV per atom

# HoSc2AlS6 | the Alexandria database | GGA-PBE | optimized geometry
data_HoSc2AlS6
_symmetry_space_group_name_H-M 'P 1'
_symmetry_Int_Tables_number 1
_symmetry_space_group_name_Hall 'P 1'
_cell_length_a 6.942
_cell_length_b 6.942
_cell_length_c 6.942
_cell_angle_alpha 55.69
_cell_angle_beta 55.69
_cell_angle_gamma 55.69
loop_
_atom_site_label
_atom_site_fract_x
_atom_site_fract_y
_atom_site_fract_z
Ho1 0.000 0.000 0.000
Sc1 0.298 0.298 0.298
Sc2 0.803 0.803 0.803
Al1 0.493 0.493 0.493
S1 0.103 0.686 0.416
S2 0.223 0.582 0.880
S3 0.416 0.103 0.686
S4 0.582 0.880 0.223
S5 0.686 0.416 0.103
S6 0.880 0.223 0.582
# * magnetization: 0.00 Bohr magnetons per cell
# * total energy: -6.2444 eV per atom

# Ho6AlSe3S2 | the Alexandria database | GGA-PBE | optimized geometry
data_Ho6AlSe3S2
_symmetry_space_group_name_H-M 'P 1'
_symmetry_Int_Tables_number 1
_symmetry_space_group_name_Hall 'P 1'
_cell_length_a 9.091
_cell_length_b 9.091
_cell_length_c 8.256
_cell_angle_alpha 104.14
_cell_angle_beta 104.14
_cell_angle_gamma 24.95
loop_
_atom_site_label
_atom_site_fract_x
_atom_site_fract_y
_atom_site_fract_z
Ho1 0.004 0.004 0.253
Ho2 0.329 0.329 0.430
Ho3 0.335 0.335 0.906
Ho4 0.665 0.665 0.094
Ho5 0.671 0.671 0.570
Ho6 0.996 0.996 0.747
Al1 0.500 0.500 0.000
Se1 0.168 0.168 0.829
Se2 0.500 0.500 0.500
Se3 0.832 0.832 0.171
S1 0.169 0.169 0.336
S2 0.831 0.831 0.664
# * magnetization: 0.00 Bohr magnetons per cell
# * total energy: -5.7225 eV per atom

# Ho4AlSe2S | the Alexandria database | GGA-PBE | optimized geometry
data_Ho4AlSe2S
_symmetry_space_group_name_H-M 'P 1'
_symmetry_Int_Tables_number 1
_symmetry_space_group_name_Hall 'P 1'
_cell_length_a 7.100
_cell_length_b 3.949
_cell_length_c 7.161
_cell_angle_alpha 90.00
_cell_angle_beta 108.49
_cell_angle_gamma 90.00
loop_
_atom_site_label
_atom_site_fract_x
_atom_site_fract_y
_atom_site_fract_z
Ho1 0.242 0.000 0.235
Ho2 0.247 0.500 0.753
Ho3 0.753 0.500 0.247
Ho4 0.758 0.000 0.765
Al1 0.500 0.000 0.000
Se1 0.000 0.000 0.500
Se2 0.500 0.500 0.500
S1 0.000 0.500 0.000
# * magnetization: 0.00 Bohr magnetons per cell
# * total energy: -5.5566 eV per atom

# SmHo2AlS6 | the Alexandria database | GGA-PBE | optimized geometry
data_SmHo2AlS6
_symmetry_space_group_name_H-M 'P 1'
_symmetry_Int_Tables_number 1
_symmetry_space_group_name_Hall 'P 1'
_cell_length_a 7.144
_cell_length_b 7.144
_cell_length_c 7.144
_cell_angle_alpha 56.36
_cell_angle_beta 56.36
_cell_angle_gamma 56.36
loop_
_atom_site_label
_atom_site_fract_x
_atom_site_fract_y
_atom_site_fract_z
Sm1 0.000 0.000 0.000
Ho1 0.291 0.291 0.291
Ho2 0.796 0.796 0.796
Al1 0.492 0.492 0.492
S1 0.121 0.687 0.400
S2 0.231 0.594 0.859
S3 0.400 0.121 0.687
S4 0.594 0.859 0.231
S5 0.687 0.400 0.121
S6 0.859 0.231 0.594
# * magnetization: 0.00 Bohr magnetons per cell
# * total energy: -5.9714 eV per atom